A plane-wave DFT calculation with GGA-PBE was carried out for crystalline VWN2 at its relaxed geometry.

Values from the calculation:
Calculated volume, Å³/cell: 136.2
E, eV/atom: -9.876
M_tot, μB/cell: 0.001
E_form (uncorrected), eV per atom: -0.20

Lattice parameters (Å, degrees): 2.925 2.925 18.382 90.00 90.00 120.00
Fractional coordinates of all 12 atoms:
V: 0.000 0.000 0.000
V: 0.333 0.667 0.667
V: 0.667 0.333 0.333
W: 0.000 0.000 0.500
W: 0.333 0.667 0.167
W: 0.667 0.333 0.833
N: 0.000 0.000 0.393
N: 0.000 0.000 0.607
N: 0.333 0.667 0.060
N: 0.333 0.667 0.273
N: 0.667 0.333 0.727
N: 0.667 0.333 0.940

---

A plane-wave DFT calculation with GGA-PBE was carried out for crystalline YV2N at its relaxed geometry.

Values from the calculation:
Calculated volume, Å³/cell: 149.7
E, eV/atom: -8.505
M_tot, μB/cell: 0.000
E_form (uncorrected), eV per atom: -0.25

Lattice parameters (Å, degrees): 5.959 5.959 5.959 60.00 60.00 60.00
Fractional coordinates of all 8 atoms:
Y: 0.125 0.125 0.125
Y: 0.875 0.875 0.875
V: 0.000 0.500 0.500
V: 0.500 0.000 0.500
V: 0.500 0.500 0.000
V: 0.500 0.500 0.500
N: 0.375 0.375 0.375
N: 0.625 0.625 0.625

---

A plane-wave DFT calculation with GGA-PBE was carried out for crystalline YV3N at its relaxed geometry.

Values from the calculation:
Calculated volume, Å³/cell: 71.2
E, eV/atom: -8.622
M_tot, μB/cell: 0.001
E_form (uncorrected), eV per atom: -0.19
Energy above the most stable polymorph in this dataset, eV/f.u.: 0.00

Lattice parameters (Å, degrees): 4.145 4.145 4.145 90.00 90.00 90.00
Fractional coordinates of all 5 atoms:
Y: 0.000 0.000 0.000
V: 0.000 0.500 0.500
V: 0.500 0.000 0.500
V: 0.500 0.500 0.000
N: 0.500 0.500 0.500

---

A plane-wave DFT calculation with GGA-PBE was carried out for crystalline YVN3 at its relaxed geometry.

Values from the calculation:
Calculated volume, Å³/cell: 81.2
E, eV/atom: -6.738
M_tot, μB/cell: 0.389
E_form (uncorrected), eV per atom: 1.37

Lattice parameters (Å, degrees): 4.330 4.330 4.330 90.00 90.00 90.00
Fractional coordinates of all 5 atoms:
Y: 0.000 0.000 0.000
V: 0.500 0.500 0.500
N: 0.000 0.000 0.500
N: 0.000 0.500 0.000
N: 0.500 0.000 0.000

---

A plane-wave DFT calculation with GGA-PBE was carried out for crystalline YVN2 at its relaxed geometry.

Values from the calculation:
Calculated volume, Å³/cell: 179.9
E, eV/atom: -8.458
M_tot, μB/cell: 7.812
E_form (uncorrected), eV per atom: -0.40

Lattice parameters (Å, degrees): 5.645 5.645 5.645 90.00 90.00 90.00
Fractional coordinates of all 16 atoms:
Y: 0.000 0.000 0.000
Y: 0.000 0.500 0.500
Y: 0.500 0.000 0.500
Y: 0.500 0.500 0.000
V: 0.000 0.000 0.500
V: 0.000 0.500 0.000
V: 0.500 0.000 0.000
V: 0.500 0.500 0.500
N: 0.250 0.250 0.250
N: 0.250 0.250 0.750
N: 0.250 0.750 0.250
N: 0.250 0.750 0.750
N: 0.750 0.250 0.250
N: 0.750 0.250 0.750
N: 0.750 0.750 0.250
N: 0.750 0.750 0.750

---

A plane-wave DFT calculation with GGA-PBE was carried out for crystalline YVN2 at its relaxed geometry.

Values from the calculation:
Calculated volume, Å³/cell: 228.2
E, eV/atom: -9.117
M_tot, μB/cell: 4.050
E_form (uncorrected), eV per atom: -1.06

Lattice parameters (Å, degrees): 4.853 4.853 9.693 90.00 90.00 90.00
Fractional coordinates of all 16 atoms:
Y: 0.000 0.000 0.000
Y: 0.000 0.500 0.250
Y: 0.500 0.000 0.750
Y: 0.500 0.500 0.500
V: 0.000 0.000 0.500
V: 0.000 0.500 0.750
V: 0.500 0.000 0.250
V: 0.500 0.500 0.000
N: 0.183 0.250 0.625
N: 0.250 0.683 0.875
N: 0.250 0.817 0.375
N: 0.317 0.250 0.125
N: 0.683 0.750 0.125
N: 0.750 0.183 0.375
N: 0.750 0.317 0.875
N: 0.817 0.750 0.625

---

A plane-wave DFT calculation with GGA-PBE was carried out for crystalline YVN3 at its relaxed geometry.

Values from the calculation:
Calculated volume, Å³/cell: 147.6
E, eV/atom: -8.936
M_tot, μB/cell: 0.001
E_form (uncorrected), eV per atom: -0.82

Lattice parameters (Å, degrees): 5.572 3.595 7.849 90.00 110.15 90.00
Fractional coordinates of all 10 atoms:
Y: 0.236 0.250 0.189
Y: 0.764 0.750 0.811
V: 0.156 0.250 0.672
V: 0.844 0.750 0.328
N: 0.012 0.750 0.617
N: 0.078 0.250 0.878
N: 0.483 0.250 0.730
N: 0.517 0.750 0.270
N: 0.922 0.750 0.122
N: 0.988 0.250 0.383

---

A plane-wave DFT calculation with GGA-PBE was carried out for crystalline Y3VN4 at its relaxed geometry.

Values from the calculation:
Calculated volume, Å³/cell: 250.3
E, eV/atom: -9.043
M_tot, μB/cell: 2.361
E_form (uncorrected), eV per atom: -1.32

Lattice parameters (Å, degrees): 7.644 6.616 4.949 90.00 90.00 90.00
Fractional coordinates of all 16 atoms:
Y: 0.000 0.149 0.000
Y: 0.247 0.331 0.501
Y: 0.253 0.669 0.001
Y: 0.500 0.851 0.500
Y: 0.747 0.669 0.001
Y: 0.753 0.331 0.501
V: 0.000 0.824 0.455
V: 0.500 0.176 0.955
N: 0.000 0.117 0.496
N: 0.000 0.820 0.066
N: 0.226 0.690 0.499
N: 0.274 0.310 0.999
N: 0.500 0.180 0.566
N: 0.500 0.883 0.996
N: 0.726 0.310 0.999
N: 0.774 0.690 0.499

---

A plane-wave DFT calculation with GGA-PBE was carried out for crystalline YVN3 at its relaxed geometry.

Values from the calculation:
Calculated volume, Å³/cell: 56.4
E, eV/atom: -8.852
M_tot, μB/cell: 0.198
E_form (uncorrected), eV per atom: -0.74

Lattice parameters (Å, degrees): 3.835 3.835 3.835 90.00 90.00 90.00
Fractional coordinates of all 5 atoms:
Y: 0.000 0.000 0.000
V: 0.500 0.500 0.500
N: 0.000 0.500 0.500
N: 0.500 0.000 0.500
N: 0.500 0.500 0.000

---

A plane-wave DFT calculation with GGA-PBE was carried out for crystalline YV3N at its relaxed geometry.

Values from the calculation:
Calculated volume, Å³/cell: 108.9
E, eV/atom: -5.358
M_tot, μB/cell: 5.232
E_form (uncorrected), eV per atom: 3.07
Energy above the most stable polymorph in this dataset, eV/f.u.: 16.32

Lattice parameters (Å, degrees): 4.775 4.775 4.775 90.00 90.00 90.00
Fractional coordinates of all 5 atoms:
Y: 0.000 0.000 0.000
V: 0.000 0.000 0.500
V: 0.000 0.500 0.000
V: 0.500 0.000 0.000
N: 0.500 0.500 0.500

---

A plane-wave DFT calculation with GGA-PBE was carried out for crystalline Y2VZnN at its relaxed geometry.

Values from the calculation:
Calculated volume, Å³/cell: 93.9
E, eV/atom: -7.052
M_tot, μB/cell: 2.032
E_form (uncorrected), eV per atom: -0.72

Lattice parameters (Å, degrees): 4.916 4.916 3.884 90.00 90.00 90.00
Fractional coordinates of all 5 atoms:
Y: 0.000 0.500 0.000
Y: 0.500 0.000 0.000
V: 0.000 0.000 0.500
Zn: 0.500 0.500 0.500
N: 0.000 0.000 0.000

---

A plane-wave DFT calculation with GGA-PBE was carried out for crystalline YV2ZnN at its relaxed geometry.

Values from the calculation:
Calculated volume, Å³/cell: 96.2
E, eV/atom: -5.616
M_tot, μB/cell: 6.531
E_form (uncorrected), eV per atom: 1.24

Lattice parameters (Å, degrees): 5.080 5.080 3.728 90.00 90.00 90.00
Fractional coordinates of all 5 atoms:
Y: 0.000 0.000 0.000
V: 0.000 0.500 0.500
V: 0.500 0.000 0.500
Zn: 0.500 0.500 0.500
N: 0.500 0.500 0.000

---

- E_form (uncorrected) of number 3 (YV3N)?
  -0.19 eV per atom